(1)
# BaAgAs2

BaAgAs2 at its PBEsol-relaxed geometry (SCAN, the Alexandria database).

Cell and atoms, written as POSCAR:
```
BaAgAs2
1.0
2.343 -3.100 0.000
2.343 3.100 0.000
0.000 0.000 6.845
Ba Ag As
1 1 2
Cartesian
0.000 0.000 0.000
0.000 0.000 3.422
2.343 0.000 2.163
2.343 0.000 4.682
```

Results
N(E_F) (states/eV per cell): 1.90
Space group: Cmmm (65)



(2)
# BaAgAs

BaAgAs at its PBEsol-relaxed geometry (SCAN, the Alexandria database).

Cell and atoms, written as POSCAR:
```
BaAgAs
1.0
0.000 3.150 5.388
2.468 0.000 5.388
2.468 3.150 0.000
Ba Ag As
1 1 1
Cartesian
0.000 0.000 0.000
2.468 3.150 3.075
2.468 3.150 7.516
```

Results
N(E_F) (states/eV per cell): 1.16
Space group: Fmm2 (42)



(3)
# BaAgAs

BaAgAs at its PBEsol-relaxed geometry (SCAN, the Alexandria database).

Cell and atoms, written as POSCAR:
```
BaAgAs
1.0
4.572 0.000 0.000
-2.286 3.960 0.000
0.000 0.000 8.929
Ba Ag As
2 2 2
Cartesian
0.000 0.000 0.000
0.000 0.000 4.464
0.000 2.640 2.232
2.286 1.320 6.697
0.000 2.640 6.697
2.286 1.320 2.232
```

Results
N(E_F) (states/eV per cell): 0.01
Space group: P6_3/mmc (194)



(4)
# Ba2AgAsI

Ba2AgAsI at its PBEsol-relaxed geometry (SCAN, the Alexandria database).

Cell and atoms, written as POSCAR:
```
Ba2AgAsI
1.0
6.308 0.000 0.000
0.000 6.308 0.000
0.000 0.000 4.821
Ba Ag As I
2 1 1 1
Cartesian
0.000 3.154 0.000
3.154 0.000 0.000
0.000 0.000 2.410
0.000 0.000 0.000
3.154 3.154 2.410
```

Results
N(E_F) (states/eV per cell): 2.47
Space group: P4/mmm (123)
Uncorrected formation energy (eV/atom): -0.933



The calculated total energy results, record by record, are as follows: -112.45, -92.05, -187.60, -172.07 eV/cell.